[1]
Density functional theory data (PBE) for an optimized crystal structure of NiTeH3.

a = 3.598 Å, b = 3.598 Å, c = 3.598 Å
α = 90.00°, β = 90.00°, γ = 90.00°
Fractional positions:
1 Ni 0.000 0.000 0.000
2 Te 0.500 0.500 0.500
3 H 0.000 0.000 0.500
4 H 0.000 0.500 0.000
5 H 0.500 0.000 0.000

Summary:
The spin magnetization comes out at 0.00 μB per cell. Its energy above the most stable polymorph in this dataset is 0 meV/atom.

***

[2]
Density functional theory data (PBE) for an optimized crystal structure of BeRe2W.

a = 5.521 Å, b = 5.521 Å, c = 5.521 Å
α = 100.04°, β = 100.04°, γ = 130.64°
Fractional positions:
1 Be 0.000 0.000 0.000
2 Be 0.750 0.250 0.500
3 Re 0.039 0.625 0.914
4 Re 0.375 0.289 0.414
5 Re 0.711 0.125 0.086
6 Re 0.875 0.961 0.586
7 W 0.250 0.750 0.500
8 W 0.500 0.500 0.000

Summary:
The spin magnetization comes out at 0.00 μB per cell. The calculation puts the formation energy at 249 kJ/mol of formula units.

***

[3]
Density functional theory data (PBE) for an optimized crystal structure of LaScTl2.

a = 5.459 Å, b = 5.459 Å, c = 5.459 Å
α = 60.00°, β = 60.00°, γ = 60.00°
Fractional positions:
1 La 0.000 0.000 0.000
2 Sc 0.250 0.250 0.250
3 Tl 0.500 0.500 0.500
4 Tl 0.750 0.750 0.750

Summary:
The spin magnetization comes out at 1.72 μB per cell. The calculation puts the formation energy at 28 kJ/mol of formula units.

***

[4]
Density functional theory data (PBE) for an optimized crystal structure of Tl2InFe.

a = 9.909 Å, b = 9.909 Å, c = 9.909 Å
α = 19.55°, β = 19.55°, γ = 19.55°
Fractional positions:
1 Tl 0.000 0.000 0.000
2 Tl 0.234 0.234 0.234
3 In 0.473 0.473 0.473
4 Fe 0.739 0.739 0.739

Summary:
The spin magnetization comes out at 2.55 μB per cell. The calculation puts the formation energy at 148 kJ/mol of formula units. Its energy above the most stable polymorph in this dataset is 74 meV/atom.

***

[5]
Density functional theory data (PBE) for an optimized crystal structure of BiSbRh2.

a = 7.434 Å, b = 7.434 Å, c = 7.434 Å
α = 133.08°, β = 133.08°, γ = 68.52°
Fractional positions:
1 Bi 0.000 0.000 0.000
2 Bi 0.750 0.250 0.500
3 Sb 0.250 0.750 0.500
4 Sb 0.500 0.500 0.000
5 Rh 0.141 0.625 0.016
6 Rh 0.375 0.391 0.516
7 Rh 0.609 0.125 0.984
8 Rh 0.875 0.859 0.484

Summary:
The spin magnetization comes out at 0.00 μB per cell. Its energy above the most stable polymorph in this dataset is 452 meV/atom. The energy relative to the elements, uncorrected comes out at 42.6 kJ/mol of formula units.

***

[6]
Density functional theory data (PBE) for an optimized crystal structure of La7TbDy12.

a = 9.845 Å, b = 9.845 Å, c = 9.845 Å
α = 109.47°, β = 109.47°, γ = 109.47°
Fractional positions:
1 La 0.000 0.000 0.500
2 La 0.000 0.500 0.000
3 La 0.000 0.500 0.500
4 La 0.500 0.000 0.000
5 La 0.500 0.000 0.500
6 La 0.500 0.500 0.000
7 La 0.500 0.500 0.500
8 Tb 0.000 0.000 0.000
9 Dy 0.001 0.247 0.754
10 Dy 0.246 0.493 0.247
11 Dy 0.246 0.999 0.753
12 Dy 0.247 0.246 0.493
13 Dy 0.247 0.754 0.001
14 Dy 0.493 0.247 0.246
15 Dy 0.507 0.753 0.754
16 Dy 0.753 0.246 0.999
17 Dy 0.753 0.754 0.507
18 Dy 0.754 0.001 0.247
19 Dy 0.754 0.507 0.753
20 Dy 0.999 0.753 0.246

Summary:
The spin magnetization comes out at 0.00 μB per cell. The calculation puts the formation energy at 1182 kJ/mol of formula units.

***

[7]
Density functional theory data (PBE) for an optimized crystal structure of GaNiPd5.

a = 7.148 Å, b = 7.148 Å, c = 5.614 Å
α = 113.01°, β = 113.01°, γ = 97.38°
Fractional positions:
1 Ga 0.000 0.000 0.000
2 Ga 0.000 0.000 0.500
3 Ni 0.494 0.506 0.750
4 Ni 0.506 0.494 0.250
5 Pd 0.157 0.415 0.797
6 Pd 0.158 0.415 0.278
7 Pd 0.205 0.795 0.750
8 Pd 0.415 0.157 0.297
9 Pd 0.415 0.158 0.778
10 Pd 0.585 0.842 0.222
11 Pd 0.585 0.843 0.703
12 Pd 0.795 0.205 0.250
13 Pd 0.842 0.585 0.722
14 Pd 0.843 0.585 0.203

Summary:
The spin magnetization comes out at 2.68 μB per cell. The calculation puts the formation energy at -6 kJ/mol of formula units.

***

[8]
Density functional theory data (PBE) for an optimized crystal structure of TlGaPt2.

a = 7.201 Å, b = 7.201 Å, c = 7.201 Å
α = 130.85°, β = 130.85°, γ = 72.05°
Fractional positions:
1 Tl 0.000 0.000 0.000
2 Tl 0.750 0.250 0.500
3 Ga 0.250 0.750 0.500
4 Ga 0.500 0.500 0.000
5 Pt 0.167 0.625 0.042
6 Pt 0.375 0.417 0.542
7 Pt 0.583 0.125 0.958
8 Pt 0.875 0.833 0.458

Summary:
The spin magnetization comes out at 0.00 μB per cell. The calculation puts the formation energy at 32 kJ/mol of formula units.

***

What is the spin magnetization in the seventh record? 2.68 μB per cell

***

Which of these has the highest spin magnetization? GaNiPd5